[1]
## HoSeO3F (PBE)

Data for crystalline HoSeO3F at its relaxed geometry.

Lattice parameters (Å, degrees): 6.5413 6.7908 7.0882 90.00 99.57 90.00
Sites, in units of the cell vectors:
F 0.1725 0.3933 0.0228
F 0.8275 0.8933 0.4772
F 0.1725 0.1067 0.5228
F 0.8275 0.6067 0.9772
Ho 0.8627 0.8589 0.1765
Ho 0.1373 0.3589 0.3235
Ho 0.8627 0.6411 0.6765
Ho 0.1373 0.1411 0.8235
O 0.5141 0.8102 0.1350
O 0.1756 0.0375 0.1477
O 0.8226 0.1955 0.2142
O 0.1774 0.6955 0.2858
O 0.8244 0.5375 0.3523
O 0.4859 0.3102 0.3650
O 0.5141 0.6898 0.6350
O 0.1756 0.4625 0.6477
O 0.8226 0.3045 0.7142
O 0.1774 0.8045 0.7858
O 0.8244 0.9625 0.8523
O 0.4859 0.1898 0.8650
Se 0.6415 0.3841 0.2072
Se 0.3585 0.8841 0.2928
Se 0.6415 0.1159 0.7072
Se 0.3585 0.6159 0.7928

Values from the calculation:
Theoretical density: 6.65 g cm⁻³
E: -0.4792 Ry/atom


[2]
## Rb2SiGeAu2 (PBE)

Data for crystalline Rb2SiGeAu2 at its relaxed geometry.

Lattice parameters (Å, degrees): 6.1662 6.1662 8.3757 124.68 124.68 43.22
Sites, in units of the cell vectors:
Au 0.0401 0.0401 0.3407
Au 0.9106 0.9106 0.5588
Ge 0.3895 0.3895 0.2648
Rb 0.5815 0.5815 0.0484
Rb 0.7284 0.7284 0.7677
Si 0.3078 0.3078 0.4774

Values from the calculation:
Theoretical density: 6.41 g cm⁻³
E: -0.2415 Ry/atom


[3]
## Nd3Ga (PBE)

Data for crystalline Nd3Ga at its relaxed geometry.

Lattice parameters (Å, degrees): 4.8589 4.8589 4.8666 90.00 90.00 90.00
Sites, in units of the cell vectors:
Ga 0.0000 0.0000 0.0000
Nd 0.5000 0.5000 0.0000
Nd 0.5000 0.0000 0.5000
Nd 0.0000 0.5000 0.5000

Values from the calculation:
Theoretical density: 7.26 g cm⁻³
E: -0.3358 Ry/atom


[4]
## NaNdHgTe3 (PBE)

Data for crystalline NaNdHgTe3 at its relaxed geometry.

Lattice parameters (Å, degrees): 4.4639 7.7920 11.9169 90.00 90.00 73.36
Sites, in units of the cell vectors:
Hg 0.5313 0.9373 0.2500
Hg 0.4687 0.0627 0.7500
Na 0.2296 0.5409 0.2500
Na 0.7704 0.4591 0.7500
Nd 0.0000 0.0000 0.0000
Nd 0.0000 0.0000 0.5000
Te 0.6455 0.7090 0.0599
Te 0.9063 0.1874 0.2500
Te 0.6455 0.7090 0.4401
Te 0.3545 0.2910 0.5599
Te 0.0937 0.8126 0.7500
Te 0.3545 0.2910 0.9401

Values from the calculation:
Theoretical density: 6.28 g cm⁻³
E: -0.2587 Ry/atom


[5]
## Pr2AgIrO6 (PBE)

Data for crystalline Pr2AgIrO6 at its relaxed geometry.

Lattice parameters (Å, degrees): 5.5589 6.1530 9.4491 90.00 123.91 90.00
Each line ends with the local moment (μB).
Sites, in units of the cell vectors:
Ag 0.0000 0.5000 0.0000  0.13
Ag 0.0000 0.0000 0.5000  0.13
Ir 0.5000 0.0000 0.0000  0.97
Ir 0.5000 0.5000 0.5000  0.99
O 0.8545 0.1625 0.0530  0.10
O 0.7141 0.7191 0.0716  0.13
O 0.5993 0.0558 0.2344  0.10
O 0.4007 0.5558 0.2656  0.10
O 0.2859 0.2191 0.4284  0.12
O 0.1455 0.6625 0.4470  0.11
O 0.8545 0.3375 0.5530  0.11
O 0.7141 0.7809 0.5716  0.12
O 0.5993 0.4442 0.7344  0.10
O 0.4007 0.9442 0.7656  0.10
O 0.2859 0.2809 0.9284  0.13
O 0.1455 0.8376 0.9470  0.10
Pr 0.2212 0.9175 0.2498  0.01
Pr 0.7788 0.4175 0.2502  0.01
Pr 0.2212 0.5825 0.7498  0.01
Pr 0.7788 0.0825 0.7502  0.01

Values from the calculation:
Theoretical density: 8.39 g cm⁻³
E: -0.5153 Ry/atom


[6]
## MgInRe2 (PBE)

Data for crystalline MgInRe2 at its relaxed geometry.

Lattice parameters (Å, degrees): 4.5234 4.5234 4.5234 60.00 60.00 60.00
Sites, in units of the cell vectors:
In 0.5000 0.5000 0.5000
Mg 0.2500 0.2500 0.2500
Re 0.0000 0.0000 0.0000
Re 0.7500 0.7500 0.7500

Values from the calculation:
Theoretical density: 12.98 g cm⁻³
E: -0.5090 Ry/atom


[7]
## Nd2DyCu4Pb4 (PBE)

Data for crystalline Nd2DyCu4Pb4 at its relaxed geometry.

Lattice parameters (Å, degrees): 8.7310 8.7310 8.7310 148.89 132.47 57.89
Sites, in units of the cell vectors:
Cu 0.6446 0.3300 0.3147
Cu 0.9847 0.6700 0.3147
Cu 0.0153 0.3300 0.6853
Cu 0.3554 0.6700 0.6853
Dy 0.0000 0.0000 0.0000
Nd 0.6326 0.1326 0.5000
Nd 0.3674 0.8674 0.5000
Pb 0.2143 0.2143 0.0000
Pb 0.7857 0.7857 0.0000
Pb 0.7123 0.5000 0.2123
Pb 0.2877 0.5000 0.7877

Values from the calculation:
Theoretical density: 10.12 g cm⁻³
E: -0.3151 Ry/atom


[8]
## DyNbCS (PBE)

Data for crystalline DyNbCS at its relaxed geometry.

Lattice parameters (Å, degrees): 3.4360 3.4360 12.3875 90.00 90.00 120.00
Sites, in units of the cell vectors:
C 0.0000 0.0000 0.2279
C 0.0000 0.0000 0.7721
Dy 0.3333 0.6667 0.3438
Dy 0.3333 0.6667 0.6562
Nb 0.6667 0.3333 0.1381
Nb 0.6667 0.3333 0.8619
S 0.3333 0.6667 0.0000
S 0.6667 0.3333 0.5000

Values from the calculation:
Theoretical density: 7.85 g cm⁻³
E: -0.5892 Ry/atom


[9]
## Ba2Sn3Hg3 (PBE)

Data for crystalline Ba2Sn3Hg3 at its relaxed geometry.

Lattice parameters (Å, degrees): 5.2797 7.4885 7.4885 58.44 90.00 90.00
Sites, in units of the cell vectors:
Ba 0.0000 0.3305 0.3305
Ba 0.5000 0.6649 0.6649
Hg 0.5000 0.1486 0.1486
Hg 0.0000 0.8461 0.3001
Hg 0.0000 0.3001 0.8461
Sn 0.5000 0.7236 0.1328
Sn 0.5000 0.1328 0.7236
Sn 0.0000 0.8534 0.8534

Values from the calculation:
Theoretical density: 8.11 g cm⁻³
E: -0.1859 Ry/atom


[10]
## Lu3AlNi8 (PBE)

Data for crystalline Lu3AlNi8 at its relaxed geometry.

Lattice parameters (Å, degrees): 4.9812 4.9813 15.8196 90.00 90.00 120.00
Sites, in units of the cell vectors:
Al 0.3333 0.6667 0.2500
Al 0.6667 0.3333 0.7500
Lu 0.6667 0.3333 0.0418
Lu 0.6667 0.3333 0.2500
Lu 0.6667 0.3333 0.4582
Lu 0.3333 0.6667 0.5418
Lu 0.3333 0.6667 0.7500
Lu 0.3333 0.6667 0.9582
Ni 0.0000 0.0000 0.0000
Ni 0.1663 0.8337 0.1254
Ni 0.6675 0.8337 0.1254
Ni 0.1663 0.3325 0.1254
Ni 0.0000 0.0000 0.2500
Ni 0.1663 0.3325 0.3746
Ni 0.1663 0.8337 0.3746
Ni 0.6675 0.8337 0.3746
Ni 0.0000 0.0000 0.5000
Ni 0.3325 0.1663 0.6254
Ni 0.8337 0.1663 0.6254
Ni 0.8337 0.6675 0.6254
Ni 0.0000 0.0000 0.7500
Ni 0.8337 0.6675 0.8746
Ni 0.3325 0.1663 0.8746
Ni 0.8337 0.1663 0.8746

Values from the calculation:
Theoretical density: 9.98 g cm⁻³
E: -0.4171 Ry/atom


[11]
## TaBeAl (PBE)

Data for crystalline TaBeAl at its relaxed geometry.

Lattice parameters (Å, degrees): 4.1363 4.1363 4.1363 60.00 60.00 60.00
Sites, in units of the cell vectors:
Al 0.0000 0.0000 0.0000
Be 0.2500 0.2500 0.2500
Ta 0.7500 0.7500 0.7500

Values from the calculation:
Theoretical density: 7.20 g cm⁻³
E: -0.4181 Ry/atom


[12]
## LaHoS3 (PBE)

Data for crystalline LaHoS3 at its relaxed geometry.

Lattice parameters (Å, degrees): 11.0861 4.0121 21.6806 90.00 101.58 90.00
Sites, in units of the cell vectors:
Ho 0.6796 0.7500 0.0468
Ho 0.0225 0.7500 0.0872
Ho 0.5289 0.7500 0.3503
Ho 0.9470 0.7500 0.4165
Ho 0.0530 0.2500 0.5835
Ho 0.4711 0.2500 0.6497
Ho 0.9775 0.2500 0.9128
Ho 0.3204 0.2500 0.9532
La 0.4079 0.2500 0.1354
La 0.8020 0.2500 0.2335
La 0.1905 0.2500 0.2663
La 0.2996 0.2500 0.4633
La 0.7004 0.7500 0.5367
La 0.8095 0.7500 0.7337
La 0.1980 0.7500 0.7665
La 0.5921 0.7500 0.8646
S 0.1365 0.2500 0.0357
S 0.4144 0.7500 0.0360
S 0.8425 0.2500 0.0985
S 0.6245 0.7500 0.1632
S 0.2479 0.7500 0.1730
S 0.9932 0.7500 0.2197
S 0.4621 0.2500 0.2704
S 0.7538 0.7500 0.3233
S 0.2937 0.7500 0.3648
S 0.0465 0.2500 0.3658
S 0.5577 0.2500 0.4436
S 0.8556 0.2500 0.4857
S 0.1444 0.7500 0.5143
S 0.4423 0.7500 0.5564
S 0.9535 0.7500 0.6342
S 0.7063 0.2500 0.6352
S 0.2462 0.2500 0.6767
S 0.5379 0.7500 0.7296
S 0.0068 0.2500 0.7803
S 0.7521 0.2500 0.8270
S 0.3755 0.2500 0.8368
S 0.1575 0.7500 0.9015
S 0.5856 0.2500 0.9640
S 0.8635 0.7500 0.9643

Values from the calculation:
Theoretical density: 5.63 g cm⁻³
E: -0.4799 Ry/atom


[13]
## ThCoSn (PBE)

Data for crystalline ThCoSn at its relaxed geometry.

Lattice parameters (Å, degrees): 8.5904 8.5904 3.4047 90.00 90.00 120.00
Each line ends with the local moment (μB).
Sites, in units of the cell vectors:
Co 0.6897 0.0000 0.5000  -0.66
Co 0.3103 0.3103 0.5000  -0.63
Co 0.0000 0.6897 0.5000  -0.73
Sn 0.6667 0.3333 0.0000  -0.03
Sn 0.3333 0.6667 0.0000  -0.03
Sn 0.0000 0.0000 0.5000  0.00
Th 0.2960 0.0000 0.0000  -0.01
Th 0.0000 0.2960 0.0000  -0.01
Th 0.7040 0.7040 0.0000  -0.01

Values from the calculation:
Theoretical density: 9.38 g cm⁻³
E: -0.4344 Ry/atom


[14]
## MgAsAuO (PBE)

Data for crystalline MgAsAuO at its relaxed geometry.

Lattice parameters (Å, degrees): 4.0604 4.0604 9.0556 90.00 90.00 90.00
Sites, in units of the cell vectors:
As 0.0000 0.5000 0.3174
As 0.5000 0.0000 0.6826
Au 0.0000 0.0000 0.5000
Au 0.5000 0.5000 0.5000
Mg 0.5000 0.0000 0.0022
Mg 0.0000 0.5000 0.9978
O 0.0000 0.0000 0.0000
O 0.5000 0.5000 0.0000

Values from the calculation:
Theoretical density: 6.94 g cm⁻³
E: -0.3345 Ry/atom


[15]
## PuBeAl (PBE)

Data for crystalline PuBeAl at its relaxed geometry.

Lattice parameters (Å, degrees): 4.3292 4.3292 4.3292 60.00 60.00 60.00
Each line ends with the local moment (μB).
Sites, in units of the cell vectors:
Al 0.5000 0.5000 0.5000  -0.03
Be 0.2500 0.2500 0.2500  -0.03
Pu 0.0000 0.0000 0.0000  4.97

Values from the calculation:
Theoretical density: 8.10 g cm⁻³
E: -0.5229 Ry/atom


[16]
## Er2TmAl3CoCu2 (PBE)

Data for crystalline Er2TmAl3CoCu2 at its relaxed geometry.

Lattice parameters (Å, degrees): 4.0100 6.8901 6.8901 119.99 90.00 90.00
Sites, in units of the cell vectors:
Al 0.5000 0.7706 0.0000
Al 0.5000 0.2293 0.2293
Al 0.5000 0.0000 0.7706
Co 0.0000 0.9986 0.9986
Cu 0.5000 0.6662 0.3345
Cu 0.5000 0.3345 0.6662
Er 0.0000 0.4096 0.0001
Er 0.0000 0.0001 0.4096
Tm 0.0000 0.5911 0.5911

Values from the calculation:
Theoretical density: 7.76 g cm⁻³
E: -0.3557 Ry/atom


[17]
## SmDyTm (PBE)

Data for crystalline SmDyTm at its relaxed geometry.

Lattice parameters (Å, degrees): 5.4109 5.4109 5.4109 60.00 60.00 60.00
Sites, in units of the cell vectors:
Dy 0.0000 0.0000 0.0000
Sm 0.5000 0.5000 0.5000
Tm 0.7500 0.7500 0.7500

Values from the calculation:
Theoretical density: 7.14 g cm⁻³
Formation energy: 0.709 eV per atom
E: -0.2857 Ry/atom